SmHoTh2Rh4: relaxed, GGA-PBE.

abc: 5.7514 5.7514 6.9811
angles: 115.77 115.77 86.82
Atoms (fractional coordinates):
Sm (0.9346, 0.9346, 0.0000)
Ho (0.5071, 0.5071, 0.0000)
Th (0.1568, 0.6568, 0.5000)
Th (0.6568, 0.1568, 0.5000)
Rh (0.0181, 0.4205, 0.0000)
Rh (0.4205, 0.0181, 0.0000)
Rh (0.1701, 0.1701, 0.5369)
Rh (0.6332, 0.6332, 0.4631)

Properties
* energy: -7.466 eV per atom
* energy of formation from the pure elements: -0.77 eV per atom
* M_tot: 0.00 μB/f.u.